Ce4Sm2P3N2 | GGA-PBE | optimized geometry Values from VASP.

```
&SYSTEM
  ibrav = 0, nat = 11, ntyp = 4
/
ATOMIC_SPECIES
Ce 140.12 Ce.upf
Sm 150.36 Sm.upf
P 30.97 P.upf
N 14.01 N.upf
ATOMIC_POSITIONS angstrom
Ce 2.271 0.000 1.908
Ce 2.271 0.000 10.033
Ce 0.000 2.271 1.908
Ce 0.000 2.271 10.033
Sm 0.000 0.000 4.806
Sm 0.000 0.000 19.077
P 0.000 0.000 7.773
P 0.000 0.000 11.941
P 0.000 0.000 16.109
N 0.000 0.000 2.459
N 0.000 0.000 21.424
CELL_PARAMETERS angstrom
-2.271 2.271 11.941
2.271 -2.271 11.941
2.271 2.271 -11.941
```

Properties
Its space-group type is I4/mmm (139). The calculation puts the formation energy without anion corrections at -1.2008 eV per atom. The magnetic moment comes out at 2.518 μB per formula unit.

=====

CeTaB4 | GGA-PBE | optimized geometry Values from VASP.

```
&SYSTEM
  ibrav = 0, nat = 24, ntyp = 3
/
ATOMIC_SPECIES
Ce 140.12 Ce.upf
Ta 180.95 Ta.upf
B 10.81 B.upf
ATOMIC_POSITIONS angstrom
Ce 0.780 1.796 0.000
Ce 2.301 7.763 0.000
Ce 3.860 4.171 0.000
Ce 5.382 10.138 0.000
Ta 0.825 4.927 0.000
Ta 2.256 10.894 0.000
Ta 3.906 1.040 0.000
Ta 5.337 7.007 0.000
B 0.159 8.264 1.849
B 0.706 6.527 1.849
B 0.820 11.556 1.849
B 1.292 9.693 1.849
B 1.788 3.726 1.849
B 2.261 5.589 1.849
B 2.374 0.560 1.849
B 2.922 2.297 1.849
B 3.240 9.637 1.849
B 3.787 11.374 1.849
B 3.901 6.345 1.849
B 4.373 8.208 1.849
B 4.869 2.241 1.849
B 5.342 0.378 1.849
B 5.455 5.407 1.849
B 6.003 3.670 1.849
CELL_PARAMETERS angstrom
6.162 0.000 0.000
0.000 11.934 0.000
0.000 0.000 3.698
```

Properties
Its space-group type is Pbam (55). Its energy of formation from the pure elements is -623.4 meV per atom. The magnetic moment comes out at 0.000 μB per formula unit.

=====

HfBPRhCl | GGA-PBE | optimized geometry Values from VASP.

```
&SYSTEM
  ibrav = 0, nat = 5, ntyp = 5
/
ATOMIC_SPECIES
Hf 178.49 Hf.upf
B 10.81 B.upf
P 30.97 P.upf
Rh 102.91 Rh.upf
Cl 35.45 Cl.upf
ATOMIC_POSITIONS angstrom
Hf 0.000 0.000 0.000
B 0.097 0.000 6.010
P 1.791 0.000 4.971
Rh 0.678 1.967 6.076
Cl 0.096 1.967 1.699
CELL_PARAMETERS angstrom
3.396 0.000 0.000
0.000 3.935 0.000
-1.474 0.000 7.643
```

Properties
Its space-group type is Pm (6). The calculation puts the formation energy without anion corrections at -0.5330 eV per atom. The magnetic moment comes out at 0.000 μB per formula unit.

=====

Ca3Ga2HgAu9 | GGA-PBE | optimized geometry Values from VASP.

```
&SYSTEM
  ibrav = 0, nat = 15, ntyp = 4
/
ATOMIC_SPECIES
Ca 40.08 Ca.upf
Ga 69.72 Ga.upf
Hg 200.59 Hg.upf
Au 196.97 Au.upf
ATOMIC_POSITIONS angstrom
Ca 0.000 0.000 0.000
Ca 0.000 3.781 8.130
Ca 3.274 1.890 2.545
Ga 0.000 3.781 1.782
Ga 3.274 1.890 8.893
Hg 0.000 0.000 5.338
Au -1.637 2.836 0.000
Au 0.000 1.608 2.943
Au -1.881 4.867 2.943
Au 1.393 0.804 7.732
Au 3.274 0.000 0.000
Au 1.637 2.836 0.000
Au 1.881 4.867 2.943
Au 5.156 0.804 7.732
Au 3.274 4.063 7.732
CELL_PARAMETERS angstrom
6.548 0.000 0.000
-3.274 5.671 0.000
0.000 0.000 10.676
```

Properties
Its space-group type is P-3m1 (164). Its energy of formation from the pure elements is -341.0 meV per atom. The magnetic moment comes out at 0.000 μB per formula unit.

=====

Al3HgCl | GGA-PBE | optimized geometry Values from VASP.

```
&SYSTEM
  ibrav = 0, nat = 5, ntyp = 3
/
ATOMIC_SPECIES
Al 26.98 Al.upf
Hg 200.59 Hg.upf
Cl 35.45 Cl.upf
ATOMIC_POSITIONS angstrom
Al 0.000 0.000 2.584
Al 0.000 2.584 0.000
Al 2.584 0.000 0.000
Hg 2.584 2.584 2.584
Cl 0.000 0.000 0.000
CELL_PARAMETERS angstrom
5.167 0.000 0.000
0.000 5.167 0.000
0.000 0.000 5.167
```

Properties
Its space-group type is Pm-3m (221). The calculation puts the formation energy without anion corrections at 0.5873 eV per atom. The magnetic moment comes out at 0.000 μB per formula unit.

=====

PmHoHfN3 | GGA-PBE | optimized geometry Values from VASP.

```
&SYSTEM
  ibrav = 0, nat = 12, ntyp = 4
/
ATOMIC_SPECIES
Pm 145.00 Pm.upf
Ho 164.93 Ho.upf
Hf 178.49 Hf.upf
N 14.01 N.upf
ATOMIC_POSITIONS angstrom
Pm 0.907 0.822 2.064
Pm 4.841 2.465 7.486
Ho 0.963 0.822 5.489
Ho 4.785 2.465 4.061
Hf 1.649 2.465 8.541
Hf 4.099 0.822 1.009
N 0.369 0.822 7.985
N 0.736 2.465 4.003
N 2.490 2.465 1.050
N 3.258 0.822 8.500
N 5.012 0.822 5.548
N 5.379 2.465 1.565
CELL_PARAMETERS angstrom
6.375 0.000 0.000
0.000 3.286 0.000
-0.627 0.000 9.551
```

Properties
Its space-group type is P2_1/m (11). The calculation puts the formation energy without anion corrections at -1.4030 eV per atom. The magnetic moment comes out at 0.516 μB per formula unit.

=====

CsCe2PrBr8 | GGA-PBE | optimized geometry Values from VASP.

```
&SYSTEM
  ibrav = 0, nat = 12, ntyp = 4
/
ATOMIC_SPECIES
Cs 132.91 Cs.upf
Ce 140.12 Ce.upf
Pr 140.91 Pr.upf
Br 79.90 Br.upf
ATOMIC_POSITIONS angstrom
Cs 0.000 0.000 0.000
Ce 0.000 4.447 3.778
Ce 3.851 2.224 5.504
Pr 0.000 0.000 4.641
Br -0.870 2.477 6.093
Br -1.271 6.185 6.093
Br 0.000 4.447 0.936
Br 1.710 1.992 3.189
Br 2.141 4.679 6.093
Br 3.851 2.224 8.346
Br 5.123 0.485 3.189
Br 4.721 4.194 3.189
CELL_PARAMETERS angstrom
7.703 0.000 0.000
-3.851 6.671 0.000
0.000 0.000 9.282
```

Properties
Its space-group type is P-3 (147). The calculation puts the formation energy without anion corrections at -1.6602 eV per atom. The magnetic moment comes out at 4.020 μB per formula unit.

=====

Pm2PuIn | GGA-PBE | optimized geometry Values from VASP.

```
&SYSTEM
  ibrav = 0, nat = 4, ntyp = 3
/
ATOMIC_SPECIES
Pm 145.00 Pm.upf
Pu 244.00 Pu.upf
In 114.82 In.upf
ATOMIC_POSITIONS angstrom
Pm 0.000 0.000 3.323
Pm 0.000 0.000 32.697
Pu 0.000 0.000 0.000
In 0.000 0.000 18.010
CELL_PARAMETERS angstrom
1.727 0.997 12.007
-1.727 0.997 12.007
0.000 -1.994 12.007
```

Properties
Its space-group type is R-3m (166). Its energy of formation from the pure elements is 149.9 meV per atom. The magnetic moment comes out at 6.294 μB per formula unit.

=====

Al2CdAu3 | GGA-PBE | optimized geometry Values from VASP.

```
&SYSTEM
  ibrav = 0, nat = 12, ntyp = 3
/
ATOMIC_SPECIES
Al 26.98 Al.upf
Cd 112.41 Cd.upf
Au 196.97 Au.upf
ATOMIC_POSITIONS angstrom
Al 1.459 0.000 0.000
Al 1.459 0.000 2.942
Al 9.958 0.000 0.000
Al 9.958 0.000 2.942
Cd 5.708 0.896 4.413
Cd 5.708 -0.896 1.471
Au 2.804 1.614 1.471
Au 5.708 1.924 1.471
Au 2.804 -1.614 4.413
Au 8.612 1.614 1.471
Au 5.708 -1.924 4.413
Au 8.612 -1.614 4.413
CELL_PARAMETERS angstrom
5.708 -3.527 0.000
5.708 3.527 0.000
0.000 0.000 5.884
```

Properties
Its space-group type is Cmcm (63). Its energy of formation from the pure elements is -260.3 meV per atom. The magnetic moment comes out at 0.000 μB per formula unit.

=====

KAgO | GGA-PBE | optimized geometry Values from VASP.

```
&SYSTEM
  ibrav = 0, nat = 3, ntyp = 3
/
ATOMIC_SPECIES
K 39.10 K.upf
Ag 107.87 Ag.upf
O 16.00 O.upf
ATOMIC_POSITIONS angstrom
K 0.000 0.000 0.000
Ag 2.378 1.373 2.048
O 2.378 1.373 0.000
CELL_PARAMETERS angstrom
4.757 0.000 0.000
-2.378 4.119 0.000
0.000 0.000 4.096
```

Properties
Its space-group type is P-6m2 (187). The calculation puts the formation energy without anion corrections at -0.6276 eV per atom. The magnetic moment comes out at 0.000 μB per formula unit.

=====

NaMn3Cr | GGA-PBE | optimized geometry Values from VASP.

```
&SYSTEM
  ibrav = 0, nat = 5, ntyp = 3
/
ATOMIC_SPECIES
Na 22.99 Na.upf
Mn 54.94 Mn.upf
Cr 52.00 Cr.upf
ATOMIC_POSITIONS angstrom
Na 0.000 0.000 0.000
Mn 0.000 2.273 2.273
Mn 2.273 0.000 2.273
Mn 2.273 2.273 0.000
Cr 2.273 2.273 2.273
CELL_PARAMETERS angstrom
4.547 0.000 0.000
0.000 4.547 0.000
0.000 0.000 4.547
```

Properties
Its space-group type is Pm-3m (221). Its energy of formation from the pure elements is 935.0 meV per atom. The magnetic moment comes out at 7.895 μB per formula unit.

=====

YSiTe2 | GGA-PBE | optimized geometry Values from VASP.

```
&SYSTEM
  ibrav = 0, nat = 4, ntyp = 3
/
ATOMIC_SPECIES
Y 88.91 Y.upf
Si 28.09 Si.upf
Te 127.60 Te.upf
ATOMIC_POSITIONS angstrom
Y 0.000 0.000 0.000
Si 2.673 0.000 2.164
Te 0.000 0.000 3.136
Te 2.673 0.000 6.623
CELL_PARAMETERS angstrom
2.673 -2.730 0.000
2.673 2.730 0.000
0.000 0.000 8.118
```

Properties
Its space-group type is Cmm2 (35). The calculation puts the formation energy without anion corrections at -0.4408 eV per atom. The magnetic moment comes out at 0.000 μB per formula unit.

=====

What is the magnetic moment in the third record? 0.000 μB per formula unit